## one
# Nd3As2Se

Crystalline Nd3As2Se at its relaxed geometry (PBE-GGA, OQMD via LeMat-Bulk).

abc: 7.3715 7.3715 7.3715
angles: 146.42 131.85 59.98
Closest atoms and distances in Å follow each position.
Positions (direct):
Se 0.0000 0.0000 0.0000  6 Nd 3.01-3.06
Nd 0.5000 0.0000 0.5000  4 As 3.00, 2 Se 3.01
Nd 0.1717 0.6717 0.5000  4 As 2.97-3.01, 2 Se 3.06
As 0.6657 0.6657 0.0000  6 Nd 2.97-3.01
Nd 0.8283 0.3283 0.5000  4 As 2.97-3.01, 2 Se 3.06
As 0.3343 0.3343 0.0000  6 Nd 2.97-3.01

Computed properties:
As for the symmetry: Immm, No. 71.

=====

## two
# Nd3As2Se

Crystalline Nd3As2Se at its relaxed geometry (PBE-GGA, OQMD via LeMat-Bulk).

abc: 4.2556 4.2556 10.4518
angles: 90.00 90.00 120.00
Closest atoms and distances in Å follow each position.
Positions (direct):
Nd 0.0000 0.0000 0.0000  6 As 3.02
Se 0.0000 0.0000 0.5000  6 Nd 3.07
Nd 0.6667 0.3333 0.6767  3 As 2.95, 3 Se 3.07
As 0.3333 0.6667 0.8323  6 Nd 2.95-3.02
Nd 0.3333 0.6667 0.3233  3 As 2.95, 3 Se 3.07
As 0.6667 0.3333 0.1677  6 Nd 2.95-3.02

Computed properties:
As for the symmetry: P-3m1, No. 164.

=====

Stability ranking, top and bottom: one is the most stable and two is the least stable.

=====

## one
# NdTcAs

Crystalline NdTcAs at its relaxed geometry (PBE-GGA, OQMD via LeMat-Bulk).

abc: 4.7659 4.7659 4.7659
angles: 60.00 60.00 60.00
Closest atoms and distances in Å follow each position.
Positions (direct):
Tc 0.7500 0.7500 0.7500  4 Nd 2.92
Nd 0.0000 0.0000 0.0000  4 Tc 2.92, 4 As 2.92
As 0.2500 0.2500 0.2500  4 Nd 2.92

Computed properties:
As for the symmetry: F-43m, No. 216.

=====

## two
# NdTcAs

Crystalline NdTcAs at its relaxed geometry (PBE-GGA, OQMD via LeMat-Bulk).

abc: 4.5983 4.5983 4.5983
angles: 60.00 60.00 60.00
Closest atoms and distances in Å follow each position.
Positions (direct):
As 0.0000 0.0000 0.0000  4 Tc 2.82, 4 Nd 2.82
Tc 0.7500 0.7500 0.7500  4 As 2.82
Nd 0.2500 0.2500 0.2500  4 As 2.82

Computed properties:
As for the symmetry: F-43m, No. 216.

=====

Stability ranking, top and bottom: two is the most stable and one is the least stable.

=====

## one
# NdTlAs

Crystalline NdTlAs at its relaxed geometry (PBE-GGA, OQMD via LeMat-Bulk).

abc: 5.0486 5.0486 5.0486
angles: 60.00 60.00 60.00
Closest atoms and distances in Å follow each position.
Positions (direct):
As 0.2500 0.2500 0.2500  4 Tl 3.09
Tl 0.0000 0.0000 0.0000  4 Nd 3.09, 4 As 3.09
Nd 0.7500 0.7500 0.7500  4 Tl 3.09

Computed properties:
As for the symmetry: F-43m, No. 216.

=====

## two
# NdTlAs

Crystalline NdTlAs at its relaxed geometry (PBE-GGA, OQMD via LeMat-Bulk).

abc: 5.0674 5.0674 5.0674
angles: 60.00 60.00 60.00
Closest atoms and distances in Å follow each position.
Positions (direct):
Nd 0.0000 0.0000 0.0000  4 Tl 3.10, 4 As 3.10
As 0.2500 0.2500 0.2500  4 Nd 3.10
Tl 0.7500 0.7500 0.7500  4 Nd 3.10

Computed properties:
As for the symmetry: F-43m, No. 216.

=====

Stability ranking, top and bottom: two is the most stable and one is the least stable.